<w>
PBE CeSm2Pb, relaxed; spin magnetization = 0.63 μB/cell; D(E_F) = 5.32 states/eV/f.u.; theoretical density = 8.13 g/cm3
1.0
3.546 0.000 0.000
1.773 3.071 0.000
1.773 1.024 12.154
Sm Pb Ce
2 1 1
direct
0.911 0.911 0.267 Sm
0.089 0.089 0.733 Sm
0.000 0.000 0.000 Pb
0.500 0.500 0.500 Ce

---

<x>
PBE CeSm2Pb, relaxed; spin magnetization = 0.58 μB/cell; D(E_F) = 8.64 states/eV/f.u.; theoretical density = 9.04 g/cm3
1.0
5.521 0.000 0.000
2.760 4.781 0.000
2.760 1.594 4.508
Pb Ce Sm
1 1 2
direct
0.500 0.500 0.500 Pb
0.000 0.000 0.000 Ce
0.750 0.750 0.750 Sm
0.250 0.250 0.250 Sm

---

Among the structures shown above, <x> is the most stable, with the second-best lying 0.162 eV/atom higher.